No. 1
Computed, not measured: a relaxed HfCr2F crystal at the GGA+U level of DFT.

```
8
Lattice="-3.618 3.618 2.694 3.618 -3.618 2.694 3.618 3.618 -2.694" Properties=species:S:1:pos:R:3 pbc="T T T"
Hf 0.000 0.000 0.000
Hf 0.000 3.618 1.347
Cr 1.809 -1.327 2.020
Cr 2.291 1.809 0.673
Cr 1.809 4.945 -0.673
Cr 1.327 1.809 3.367
F 3.618 0.000 1.347
F 0.000 0.000 2.694
```

Calculated values
Energy above the lowest structure with this stoichiometry (meV/atom): 0.0

=====

No. 2
Computed, not measured: a relaxed HfCr2InF crystal at the GGA+U level of DFT.

```
5
Lattice="5.172 0.000 0.000 0.000 5.172 0.000 0.000 0.000 5.713" Properties=species:S:1:pos:R:3 pbc="T T T"
Hf 0.000 0.000 0.000
Cr 0.000 2.586 0.000
Cr 2.586 0.000 0.000
In 0.000 0.000 2.857
F 2.586 2.586 2.857
```

Calculated values
VASP energy (eV per atom): -4.7789

=====

No. 3
Computed, not measured: a relaxed Hf2MnCrF crystal at the GGA+U level of DFT.

```
5
Lattice="4.450 0.000 0.000 0.000 4.450 0.000 0.000 0.000 4.584" Properties=species:S:1:pos:R:3 pbc="T T T"
Hf 0.000 2.225 0.000
Hf 2.225 0.000 0.000
Mn 0.000 0.000 2.292
Cr 2.225 2.225 2.292
F 2.225 2.225 0.000
```

Calculated values
VASP energy (eV per atom): -7.4528

=====

Number 1: theoretical density 7.1 g cm⁻³, total magnetization 8.950 μB per formula unit. Number 2: theoretical density 4.5 g cm⁻³, total magnetization 7.558 μB per formula unit. Number 3: theoretical density 8.8 g cm⁻³, total magnetization 7.637 μB per formula unit.